1.
# Th2Cd17

A relaxed Th2Cd17 crystal (PBE, the Alexandria database).

Output
Space-group type: R-3m (166)
DFT formation energy in eV per formula unit: -1.28
Mass density in g cm⁻³: 9.012

Cell: 7.653 7.653 7.653 Å, 82.49 82.49 82.49°
Atoms (fractional coordinates):
Cd 0.839 0.361 0.361
Th 0.335 0.335 0.335
Cd 0.300 0.000 0.700
Cd 0.000 0.000 0.500
Cd 0.500 0.000 0.000
Cd 0.000 0.700 0.300
Cd 0.639 0.161 0.639
Cd 0.000 0.300 0.700
Cd 0.300 0.700 0.000
Cd 0.103 0.103 0.103
Cd 0.361 0.361 0.839
Th 0.665 0.665 0.665
Cd 0.161 0.639 0.639
Cd 0.639 0.639 0.161
Cd 0.700 0.000 0.300
Cd 0.361 0.839 0.361
Cd 0.897 0.897 0.897
Cd 0.000 0.500 0.000
Cd 0.700 0.300 0.000

***

2.
# Th3Cd

A relaxed Th3Cd crystal (PBE, the Alexandria database).

Output
Polymorph energy (0 for the lowest one) in eV/atom: 0.021
Space-group type: P4/mmm (123)
DFT formation energy in eV per formula unit: 0.00
Mass density in g cm⁻³: 11.037

Cell: 3.500 3.500 9.933 Å, 90.00 90.00 90.00°
Atoms (fractional coordinates):
Th 0.500 0.500 0.236
Th 0.000 0.000 0.500
Cd 0.000 0.000 0.000
Th 0.500 0.500 0.764

***

3.
# Th6Cd23

A relaxed Th6Cd23 crystal (PBE, the Alexandria database).

Output
Space-group type: Fm-3m (225)
DFT formation energy in eV per formula unit: -3.34
Mass density in g cm⁻³: 9.372

Cell: 9.989 9.989 9.989 Å, 60.00 60.00 60.00°
Atoms (fractional coordinates):
Th 0.809 0.809 0.191
Cd 0.500 0.000 0.500
Cd 0.380 0.859 0.380
Th 0.191 0.809 0.191
Cd 0.500 0.500 0.500
Cd 0.000 0.500 0.500
Th 0.809 0.191 0.809
Cd 0.167 0.167 0.498
Cd 0.620 0.620 0.620
Th 0.191 0.809 0.809
Th 0.809 0.191 0.191
Cd 0.380 0.380 0.380
Th 0.191 0.191 0.809
Cd 0.502 0.833 0.833
Cd 0.833 0.502 0.833
Cd 0.500 0.500 0.000
Cd 0.000 0.500 0.000
Cd 0.833 0.833 0.833
Cd 0.141 0.620 0.620
Cd 0.620 0.141 0.620
Cd 0.620 0.620 0.141
Cd 0.498 0.167 0.167
Cd 0.833 0.833 0.502
Cd 0.167 0.167 0.167
Cd 0.859 0.380 0.380
Cd 0.380 0.380 0.859
Cd 0.000 0.000 0.500
Cd 0.167 0.498 0.167
Cd 0.500 0.000 0.000

***

4.
# Th2TiCd

A relaxed Th2TiCd crystal (PBE, the Alexandria database).

Output
Polymorph energy (0 for the lowest one) in eV/atom: 0.073
Space-group type: Fm-3m (225)
DFT formation energy in eV per formula unit: 0.60
Mass density in g cm⁻³: 9.526

Cell: 5.359 5.359 5.359 Å, 60.00 60.00 60.00°
Atoms (fractional coordinates):
Cd 0.000 0.000 0.000
Ti 0.500 0.500 0.500
Th 0.750 0.750 0.750
Th 0.250 0.250 0.250

***

5.
# ThTiCd4

A relaxed ThTiCd4 crystal (PBE, the Alexandria database).

Output
Space-group type: F-43m (216)
DFT formation energy in eV per formula unit: 0.04
Mass density in g cm⁻³: 8.722

Cell: 5.813 5.813 5.813 Å, 60.00 60.00 60.00°
Atoms (fractional coordinates):
Ti 0.000 0.000 0.000
Cd 0.625 0.124 0.625
Cd 0.124 0.625 0.625
Cd 0.625 0.625 0.625
Th 0.250 0.250 0.250
Cd 0.625 0.625 0.124

***

6.
# Th2TiCd

A relaxed Th2TiCd crystal (PBE, the Alexandria database).

Output
Polymorph energy (0 for the lowest one) in eV/atom: 0.303
Space-group type: R-3m (166)
DFT formation energy in eV per formula unit: 1.52
Mass density in g cm⁻³: 9.578

Cell: 3.276 3.276 11.799 Å, 82.02 82.02 60.00°
Atoms (fractional coordinates):
Th 0.916 0.916 0.252
Cd 0.500 0.500 0.500
Th 0.084 0.084 0.748
Ti 0.000 0.000 0.000

***

7.
# Th2TiCd

A relaxed Th2TiCd crystal (PBE, the Alexandria database).

Output
Polymorph energy (0 for the lowest one) in eV/atom: 0.039
Space-group type: P4/mmm (123)
DFT formation energy in eV per formula unit: 0.47
Mass density in g cm⁻³: 9.865

Cell: 4.599 4.780 4.780 Å, 90.00 90.00 90.00°
Atoms (fractional coordinates):
Th 0.000 0.500 0.000
Cd 0.500 0.500 0.500
Th 0.000 0.000 0.500
Ti 0.500 0.000 0.000

***

8.
# Th2TiCd

A relaxed Th2TiCd crystal (PBE, the Alexandria database).

Output
Polymorph energy (0 for the lowest one) in eV/atom: 0.000
Space-group type: P4/mmm (123)
DFT formation energy in eV per formula unit: 0.31
Mass density in g cm⁻³: 9.700

Cell: 3.336 3.336 9.603 Å, 90.00 90.00 90.00°
Atoms (fractional coordinates):
Cd 0.500 0.500 0.500
Th 0.000 0.000 0.768
Th 0.000 0.000 0.232
Ti 0.500 0.500 0.000

***

9.
# Th4Tl5Cd

A relaxed Th4Tl5Cd crystal (PBE, the Alexandria database).

Output
Space-group type: Pmmn (59)
DFT formation energy in eV per formula unit: 1.64
Mass density in g cm⁻³: 10.909

Cell: 8.062 10.904 7.142 Å, 90.00 90.00 90.00°
Atoms (fractional coordinates):
Th 0.185 0.500 0.247
Tl 0.828 0.305 0.710
Tl 0.828 0.305 0.290
Tl 0.828 0.695 0.290
Tl 0.836 0.500 0.000
Tl 0.172 0.195 0.790
Tl 0.828 0.695 0.710
Cd 0.540 0.500 0.500
Tl 0.172 0.195 0.210
Cd 0.460 0.000 0.000
Th 0.496 0.676 0.000
Tl 0.164 0.000 0.500
Th 0.815 0.000 0.253
Tl 0.172 0.805 0.790
Th 0.496 0.324 0.000
Th 0.504 0.176 0.500
Th 0.185 0.500 0.753
Th 0.504 0.824 0.500
Th 0.815 0.000 0.747
Tl 0.172 0.805 0.210

***

10.
# Th6Tl5Cd

A relaxed Th6Tl5Cd crystal (PBE, the Alexandria database).

Output
Space-group type: Cmmm (65)
DFT formation energy in eV per formula unit: -1.59
Mass density in g cm⁻³: 12.067

Cell: 4.985 9.330 7.881 Å, 90.00 71.56 90.00°
Atoms (fractional coordinates):
Th 0.500 0.751 0.000
Tl 0.663 0.000 0.673
Cd 0.000 0.000 0.000
Th 0.167 0.249 0.667
Th 0.833 0.751 0.333
Tl 0.333 0.500 0.334
Th 0.500 0.249 0.000
Th 0.833 0.249 0.333
Tl 0.000 0.500 0.000
Tl 0.667 0.500 0.666
Th 0.167 0.751 0.667
Tl 0.337 0.000 0.327

***

11.
# Th2Tl3Cd3

A relaxed Th2Tl3Cd3 crystal (PBE, the Alexandria database).

Output
Space-group type: Pmmm (47)
DFT formation energy in eV per formula unit: -1.15
Mass density in g cm⁻³: 10.889

Cell: 4.857 4.741 9.368 Å, 90.00 90.00 90.00°
Atoms (fractional coordinates):
Cd 0.500 0.500 0.240
Tl 0.000 0.500 0.000
Cd 0.500 0.500 0.760
Th 0.000 0.000 0.252
Tl 0.500 0.000 0.500
Tl 0.000 0.500 0.500
Cd 0.500 0.000 0.000
Th 0.000 0.000 0.748

***

12.
# ThTlCd

A relaxed ThTlCd crystal (PBE, the Alexandria database).

Output
Space-group type: P3m1 (156)
DFT formation energy in eV per formula unit: -0.35
Mass density in g cm⁻³: 11.248

Cell: 3.602 5.097 5.097 Å, 120.00 90.00 90.00°
Atoms (fractional coordinates):
Tl 0.178 0.333 0.667
Th 0.666 0.667 0.333
Cd 0.156 0.000 0.000

***

13.
# ThTl2Cd2

A relaxed ThTl2Cd2 crystal (PBE, the Alexandria database).

Output
Space-group type: P6_3/mmc (194)
DFT formation energy in eV per formula unit: 0.79
Mass density in g cm⁻³: 9.191

Cell: 5.305 5.305 12.831 Å, 90.00 90.00 120.00°
Atoms (fractional coordinates):
Th 0.000 0.000 0.250
Cd 0.667 0.333 0.117
Tl 0.667 0.333 0.750
Th 0.000 0.000 0.750
Cd 0.333 0.667 0.883
Cd 0.667 0.333 0.383
Cd 0.333 0.667 0.617
Tl 0.000 0.000 0.500
Tl 0.333 0.667 0.250
Tl 0.000 0.000 0.000

***

14.
# Th5Tl3Cd3

A relaxed Th5Tl3Cd3 crystal (PBE, the Alexandria database).

Output
Space-group type: P-62m (189)
DFT formation energy in eV per formula unit: 3.43
Mass density in g cm⁻³: 10.562

Cell: 3.355 10.686 10.686 Å, 120.00 90.03 89.98°
Atoms (fractional coordinates):
Tl 0.000 0.000 0.617
Th 0.500 0.667 0.333
Tl 0.000 0.617 0.000
Tl 0.000 0.383 0.383
Cd 0.500 0.000 0.847
Th 0.500 0.333 0.667
Cd 0.500 0.847 0.000
Cd 0.500 0.153 0.153
Th 0.500 0.353 0.000
Th 0.500 0.647 0.647
Th 0.500 0.000 0.353

***

15.
# Th2Tl4Cd

A relaxed Th2Tl4Cd crystal (PBE, the Alexandria database).

Output
Space-group type: C2/m (12)
DFT formation energy in eV per formula unit: 1.24
Mass density in g cm⁻³: 10.695

Cell: 5.770 5.983 7.188 Å, 106.21 113.66 90.00°
Atoms (fractional coordinates):
Cd 0.000 0.000 0.000
Th 0.358 0.413 0.716
Tl 0.247 0.841 0.493
Tl 0.500 0.000 0.000
Th 0.642 0.587 0.284
Tl 0.753 0.159 0.507
Tl 0.000 0.500 0.000

***

16.
# ThTlCd

A relaxed ThTlCd crystal (PBE, the Alexandria database).

Output
Space-group type: Cmcm (63)
DFT formation energy in eV per formula unit: -0.20
Mass density in g cm⁻³: 10.854

Cell: 5.318 6.587 9.588 Å, 90.00 90.00 90.00°
Atoms (fractional coordinates):
Tl 0.500 0.500 0.408
Cd 0.500 0.750 0.750
Tl 0.000 0.500 0.908
Cd 0.000 0.750 0.250
Tl 0.500 0.000 0.092
Cd 0.500 0.250 0.750
Th 0.500 0.500 0.080
Cd 0.000 0.250 0.250
Th 0.000 0.000 0.920
Th 0.000 0.500 0.580
Tl 0.000 0.000 0.592
Th 0.500 0.000 0.420

***

17.
# Th5TlCd4

A relaxed Th5TlCd4 crystal (PBE, the Alexandria database).

Output
Space-group type: P4/mmm (123)
DFT formation energy in eV per formula unit: -0.99
Mass density in g cm⁻³: 10.806

Cell: 3.420 3.420 23.829 Å, 90.00 90.00 90.00°
Atoms (fractional coordinates):
Tl 0.000 0.000 0.000
Cd 0.000 0.000 0.799
Th 0.500 0.500 0.102
Th 0.500 0.500 0.699
Cd 0.000 0.000 0.201
Cd 0.000 0.000 0.600
Th 0.500 0.500 0.301
Th 0.500 0.500 0.500
Th 0.500 0.500 0.898
Cd 0.000 0.000 0.400

***

18.
# Th2Tl5Cd

A relaxed Th2Tl5Cd crystal (PBE, the Alexandria database).

Output
Space-group type: Pbam (55)
DFT formation energy in eV per formula unit: -1.29
Mass density in g cm⁻³: 11.975

Cell: 4.819 6.782 13.565 Å, 90.00 90.00 90.00°
Atoms (fractional coordinates):
Th 0.500 0.262 0.373
Tl 0.500 0.235 0.620
Tl 0.000 0.011 0.253
Cd 0.000 0.500 0.000
Tl 0.000 0.989 0.747
Tl 0.500 0.735 0.880
Tl 0.500 0.765 0.380
Tl 0.000 0.511 0.247
Th 0.500 0.762 0.127
Tl 0.000 0.000 0.000
Tl 0.000 0.489 0.753
Th 0.500 0.738 0.627
Tl 0.500 0.265 0.120
Cd 0.000 0.000 0.500
Tl 0.000 0.500 0.500
Th 0.500 0.238 0.873

***

19.
# Th2TlCd

A relaxed Th2TlCd crystal (PBE, the Alexandria database).

Output
Space-group type: P4/mmm (123)
DFT formation energy in eV per formula unit: -0.44
Mass density in g cm⁻³: 11.397

Cell: 3.481 3.481 9.387 Å, 90.00 90.00 90.00°
Atoms (fractional coordinates):
Cd 0.500 0.500 0.000
Th 0.000 0.000 0.247
Th 0.000 0.000 0.753
Tl 0.500 0.500 0.500

***

20.
# Th2TlCd16

A relaxed Th2TlCd16 crystal (PBE, the Alexandria database).

Output
Space-group type: R3m (160)
DFT formation energy in eV per formula unit: -1.02
Mass density in g cm⁻³: 9.184

Cell: 7.686 7.686 7.686 Å, 83.56 83.56 83.56°
Atoms (fractional coordinates):
Cd 0.021 0.021 0.476
Cd 0.997 0.695 0.309
Cd 0.807 0.366 0.366
Cd 0.366 0.807 0.366
Cd 0.021 0.476 0.021
Cd 0.309 0.695 0.997
Cd 0.649 0.649 0.144
Cd 0.695 0.997 0.309
Cd 0.695 0.309 0.997
Cd 0.144 0.649 0.649
Cd 0.997 0.309 0.695
Cd 0.366 0.366 0.807
Cd 0.309 0.997 0.695
Cd 0.649 0.144 0.649
Tl 0.896 0.896 0.896
Th 0.338 0.338 0.338
Cd 0.476 0.021 0.021
Cd 0.098 0.098 0.098
Th 0.667 0.667 0.667

***

21.
# ThTlCd

A relaxed ThTlCd crystal (PBE, the Alexandria database).

Output
Space-group type: I4mm (107)
DFT formation energy in eV per formula unit: 1.29
Mass density in g cm⁻³: 9.646

Cell: 3.222 3.222 9.380 Å, 99.89 99.89 90.00°
Atoms (fractional coordinates):
Th 0.951 0.951 0.903
Tl 0.770 0.770 0.540
Cd 0.128 0.128 0.257

***

22.
# Th3Tl2Cd

A relaxed Th3Tl2Cd crystal (PBE, the Alexandria database).

Output
Space-group type: P4/mmm (123)
DFT formation energy in eV per formula unit: -0.73
Mass density in g cm⁻³: 11.728

Cell: 3.510 3.510 13.987 Å, 90.00 90.00 90.00°
Atoms (fractional coordinates):
Cd 0.500 0.500 0.500
Tl 0.500 0.500 0.833
Th 0.000 0.000 0.335
Th 0.000 0.000 0.000
Th 0.000 0.000 0.665
Tl 0.500 0.500 0.167